(1)
The following is a DFT calculation (PBE) of a relaxed structure of La12Cu5Hg.

Cell lengths 8.869, 8.869, 8.869 Å; angles 112.31, 109.75, 106.41 degrees
Positions (direct):
Cu (0.000, 0.000, 0.000)
Cu (0.119, 0.619, 0.500)
Cu (0.644, 0.000, 0.644)
Cu (0.881, 0.381, 0.500)
Cu (0.356, 0.000, 0.356)
La (0.826, 0.274, 0.100)
La (0.325, 0.629, 0.304)
La (0.675, 0.371, 0.696)
La (0.325, 0.021, 0.696)
La (0.174, 0.726, 0.900)
La (0.826, 0.726, 0.552)
La (0.949, 0.762, 0.187)
La (0.576, 0.762, 0.813)
La (0.174, 0.274, 0.448)
La (0.424, 0.238, 0.187)
La (0.675, 0.979, 0.304)
La (0.051, 0.238, 0.813)
Hg (0.500, 0.500, 0.000)

**Volume**: 29.76 Å³/atom
**SG**: No. 71
**Calculated density**: 6.8 g/cm3
**Formation energy from the elements**: -126 meV/atom
**DOS(E_F)**: 1.378 states/eV/atom
**M_tot**: 0.0000 μB per atom


(2)
The following is a DFT calculation (PBE) of a relaxed structure of LaCuHg2.

Cell lengths 4.868, 4.868, 5.474 Å; angles 63.50, 63.50, 59.95 degrees
Positions (direct):
Hg (0.733, 0.733, 0.802)
Hg (0.969, 0.969, 0.091)
Cu (0.291, 0.291, 0.127)
La (0.507, 0.507, 0.479)

**Volume**: 24.05 Å³/atom
**SG**: No. 8
**Calculated density**: 10.4 g/cm3
**Formation energy from the elements**: -269 meV/atom
**DOS(E_F)**: 0.454 states/eV/atom
**M_tot**: 0.0000 μB per atom


(3)
The following is a DFT calculation (PBE) of a relaxed structure of LaCu2Hg2.

Cell lengths 4.333, 4.333, 6.538 Å; angles 70.65, 70.65, 90.00 degrees
Positions (direct):
Cu (0.602, 0.602, 0.795)
Cu (0.398, 0.398, 0.205)
Hg (0.250, 0.750, 0.500)
Hg (0.750, 0.250, 0.500)
La (0.000, 0.000, 0.000)

**Volume**: 21.69 Å³/atom
**SG**: No. 139
**Calculated density**: 10.2 g/cm3
**Formation energy from the elements**: -190 meV/atom
**DOS(E_F)**: 0.655 states/eV/atom
**M_tot**: 0.0000 μB per atom


(4)
The following is a DFT calculation (PBE) of a relaxed structure of La3Cu4Hg2.

Cell lengths 4.531, 6.057, 8.849 Å; angles 111.63, 90.00, 111.96 degrees
Positions (direct):
La (0.000, 0.000, 0.000)
La (0.651, 0.301, 0.684)
La (0.349, 0.699, 0.316)
Cu (0.066, 0.132, 0.412)
Cu (0.934, 0.868, 0.588)
Cu (0.730, 0.459, 0.051)
Cu (0.270, 0.541, 0.949)
Hg (0.365, 0.729, 0.703)
Hg (0.635, 0.271, 0.297)

**Volume**: 22.96 Å³/atom
**SG**: No. 12
**Calculated density**: 8.6 g/cm3
**Formation energy from the elements**: -289 meV/atom
**DOS(E_F)**: 0.696 states/eV/atom
**M_tot**: 0.0000 μB per atom


(5)
The following is a DFT calculation (PBE) of a relaxed structure of LaCuHg2.

Cell lengths 4.155, 3.908, 6.488 Å; angles 72.27, 90.00, 90.00 degrees
Positions (direct):
La (0.000, 0.540, 0.545)
Hg (0.000, 0.813, 0.998)
Hg (0.500, 0.197, 0.236)
Cu (0.500, 0.950, 0.721)

**Volume**: 25.09 Å³/atom
**SG**: No. 6
**Calculated density**: 10.0 g/cm3
**Formation energy from the elements**: -181 meV/atom
**DOS(E_F)**: 0.593 states/eV/atom
**M_tot**: 0.0000 μB per atom


(6)
The following is a DFT calculation (PBE) of a relaxed structure of La8CuHg2.

Cell lengths 5.350, 7.075, 10.046 Å; angles 107.69, 105.44, 90.00 degrees
Positions (direct):
Cu (0.500, 0.000, 0.000)
La (0.204, 0.308, 0.407)
La (0.987, 0.217, 0.973)
La (0.340, 0.007, 0.680)
La (0.660, 0.993, 0.320)
La (0.796, 0.692, 0.593)
La (0.413, 0.545, 0.826)
La (0.587, 0.455, 0.174)
La (0.013, 0.783, 0.027)
Hg (0.173, 0.727, 0.346)
Hg (0.827, 0.273, 0.654)

**Volume**: 31.62 Å³/atom
**SG**: No. 12
**Calculated density**: 7.5 g/cm3
**Formation energy from the elements**: -196 meV/atom
**DOS(E_F)**: 1.133 states/eV/atom
**M_tot**: 0.0000 μB per atom


(7)
The following is a DFT calculation (PBE) of a relaxed structure of La4CuHg.

Cell lengths 4.877, 8.232, 18.480 Å; angles 90.00, 90.00, 90.00 degrees
Positions (direct):
La (0.250, 0.511, 0.286)
La (0.250, 0.553, 0.559)
La (0.750, 0.889, 0.559)
La (0.750, 0.947, 0.059)
La (0.250, 0.662, 0.851)
La (0.750, 0.389, 0.941)
La (0.750, 0.447, 0.441)
La (0.750, 0.338, 0.149)
La (0.750, 0.838, 0.351)
La (0.250, 0.162, 0.649)
La (0.750, 0.489, 0.714)
La (0.250, 0.111, 0.441)
La (0.750, 0.989, 0.786)
La (0.250, 0.011, 0.214)
La (0.250, 0.053, 0.941)
La (0.250, 0.611, 0.059)
Cu (0.250, 0.735, 0.428)
Cu (0.750, 0.265, 0.572)
Cu (0.250, 0.235, 0.072)
Cu (0.750, 0.765, 0.928)
Hg (0.250, 0.290, 0.810)
Hg (0.750, 0.710, 0.190)
Hg (0.750, 0.210, 0.310)
Hg (0.250, 0.790, 0.690)

**Volume**: 30.91 Å³/atom
**SG**: No. 62
**Calculated density**: 7.3 g/cm3
**Formation energy from the elements**: -197 meV/atom
**DOS(E_F)**: 1.185 states/eV/atom
**M_tot**: 0.0000 μB per atom


(8)
The following is a DFT calculation (PBE) of a relaxed structure of La4CuHg.

Cell lengths 6.421, 6.421, 6.421 Å; angles 60.00, 60.00, 60.00 degrees
Positions (direct):
La (0.876, 0.375, 0.375)
La (0.375, 0.375, 0.375)
La (0.375, 0.375, 0.876)
La (0.375, 0.876, 0.375)
Hg (0.000, 0.000, 0.000)
Cu (0.750, 0.750, 0.750)

**Volume**: 31.20 Å³/atom
**SG**: No. 216
**Calculated density**: 7.3 g/cm3
**Formation energy from the elements**: 414 meV/atom
**DOS(E_F)**: 1.448 states/eV/atom
**M_tot**: 0.0001 μB per atom


(9)
The following is a DFT calculation (PBE) of a relaxed structure of LaCuHg3.

Cell lengths 5.040, 5.040, 5.040 Å; angles 90.00, 90.00, 90.00 degrees
Positions (direct):
Hg (0.000, 0.000, 0.500)
Hg (0.500, 0.000, 0.000)
Hg (0.000, 0.500, 0.000)
La (0.500, 0.500, 0.500)
Cu (0.000, 0.000, 0.000)

**Volume**: 25.61 Å³/atom
**SG**: No. 221
**Calculated density**: 10.4 g/cm3
**Formation energy from the elements**: -120 meV/atom
**DOS(E_F)**: 0.707 states/eV/atom
**M_tot**: 0.0000 μB per atom


(10)
The following is a DFT calculation (PBE) of a relaxed structure of LaCuHg2.

Cell lengths 4.461, 4.461, 5.002 Å; angles 90.00, 90.00, 89.99 degrees
Positions (direct):
Hg (0.000, 0.000, 0.000)
Hg (0.500, 0.500, 0.000)
Cu (0.000, 0.500, 0.500)
La (0.500, 0.000, 0.500)

**Volume**: 24.89 Å³/atom
**SG**: No. 123
**Calculated density**: 10.1 g/cm3
**Formation energy from the elements**: -143 meV/atom
**DOS(E_F)**: 0.946 states/eV/atom
**M_tot**: 0.0003 μB per atom


(11)
The following is a DFT calculation (PBE) of a relaxed structure of La12CuHg6.

Cell lengths 8.569, 8.569, 8.569 Å; angles 93.86, 93.86, 93.86 degrees
Positions (direct):
La (0.539, 0.193, 0.432)
La (0.914, 0.671, 0.023)
La (0.086, 0.329, 0.977)
La (0.329, 0.977, 0.086)
La (0.461, 0.807, 0.568)
La (0.568, 0.461, 0.807)
La (0.023, 0.914, 0.671)
La (0.671, 0.023, 0.914)
La (0.432, 0.539, 0.193)
La (0.807, 0.568, 0.461)
La (0.977, 0.086, 0.329)
La (0.193, 0.432, 0.539)
Hg (0.335, 0.147, 0.742)
Hg (0.147, 0.742, 0.335)
Hg (0.742, 0.335, 0.147)
Hg (0.665, 0.853, 0.258)
Hg (0.853, 0.258, 0.665)
Hg (0.258, 0.665, 0.853)
Cu (0.000, 0.000, 0.000)

**Volume**: 32.88 Å³/atom
**SG**: No. 148
**Calculated density**: 7.8 g/cm3
**Formation energy from the elements**: -225 meV/atom
**DOS(E_F)**: 1.596 states/eV/atom
**M_tot**: 0.0000 μB per atom


(12)
The following is a DFT calculation (PBE) of a relaxed structure of La7Cu2Hg2.

Cell lengths 7.121, 7.361, 7.121 Å; angles 90.00, 109.87, 90.00 degrees
Positions (direct):
La (0.500, 0.731, 0.000)
La (0.000, 0.269, 0.500)
La (0.000, 0.731, 0.500)
La (0.000, 0.000, 0.000)
La (0.500, 0.269, 0.000)
La (0.500, 0.761, 0.500)
La (0.500, 0.239, 0.500)
Hg (0.825, 0.500, 0.825)
Hg (0.175, 0.500, 0.175)
Cu (0.289, 0.000, 0.711)
Cu (0.711, 0.000, 0.289)

**Volume**: 31.91 Å³/atom
**SG**: No. 65
**Calculated density**: 7.1 g/cm3
**Formation energy from the elements**: -86 meV/atom
**DOS(E_F)**: 1.360 states/eV/atom
**M_tot**: 0.0000 μB per atom